# 1
10
Lattice="4.982 2.877 3.871 -4.982 2.877 3.871 0.000 -5.753 3.871" Properties=species:S:1:pos:R:3 comment="PBE-GGA La3PmHo6, optimized geometry" sg="R3 (146)" formation_enthalpy_0k_kcal_per_mol_atoms=6.75 pbc="T T T"
La 0.000 0.000 0.000
La 0.000 0.000 2.895
La 0.000 0.000 5.784
Pm 0.000 0.000 8.701
Ho -3.240 -0.017 5.800
Ho -1.743 -2.859 7.717
Ho 1.635 -2.798 5.800
Ho -1.605 2.939 7.717
Ho 1.605 2.815 5.800
Ho 3.347 -0.080 7.717

=====

# 2
5
Lattice="4.735 0.000 0.000 0.000 4.735 0.000 0.000 0.000 6.156" Properties=species:S:1:pos:R:3 comment="PBE-GGA BaBiTeN2, optimized geometry" sg="P4/mmm (123)" total_energy_ev_per_cell=-22.2 pbc="T T T"
Ba 0.000 0.000 0.000
Bi 2.367 2.367 3.078
Te 2.367 2.367 0.000
N 0.000 2.367 3.078
N 2.367 0.000 3.078

=====

# 3
4
Lattice="-1.366 2.220 4.419 1.366 -2.220 4.419 1.366 2.220 -4.419" Properties=species:S:1:pos:R:3 comment="PBE-GGA Zn2CoTc, optimized geometry" sg="Imm2 (44)" formation_enthalpy_0k_kcal_per_mol_atoms=3.19 pbc="T T T"
Zn 0.000 0.000 0.000
Zn 0.000 2.220 2.147
Co 1.366 0.000 2.118
Tc 0.000 0.000 4.211

=====

# 4
6
Lattice="0.000 3.441 3.441 3.441 0.000 3.441 3.441 3.441 0.000" Properties=species:S:1:pos:R:3 comment="PBE-GGA TaMn4Sn, optimized geometry" sg="F-43m (216)" formation_enthalpy_0k_kcal_per_mol_atoms=-0.42 pbc="T T T"
Ta 0.000 0.000 0.000
Mn 2.585 2.585 2.585
Mn 4.298 4.298 2.585
Mn 4.298 2.585 4.298
Mn 2.585 4.298 4.298
Sn 5.162 5.162 5.162

=====

# 5
5
Lattice="-2.160 2.160 8.518 2.160 -2.160 8.518 2.160 2.160 -8.518" Properties=species:S:1:pos:R:3 comment="PBE-GGA Tb2Ho2Sn, optimized geometry" sg="I4/mmm (139)" formation_enthalpy_0k_kcal_per_mol_atoms=4.04 pbc="T T T"
Tb 0.000 0.000 1.485
Tb 0.000 0.000 15.551
Ho 2.160 0.000 4.259
Ho 0.000 2.160 4.259
Sn 0.000 0.000 8.518

=====

# 6
3
Lattice="0.000 3.532 3.532 3.532 0.000 3.532 3.532 3.532 0.000" Properties=species:S:1:pos:R:3 comment="PBE-GGA EuAgHg, optimized geometry" sg="F-43m (216)" formation_enthalpy_0k_kcal_per_mol_atoms=-5.91 pbc="T T T"
Eu 0.000 0.000 0.000
Ag 1.766 1.766 1.766
Hg 3.532 3.532 3.532

=====

# 7
7
Lattice="2.568 1.483 10.372 -2.568 1.483 10.372 0.000 -2.965 10.372" Properties=species:S:1:pos:R:3 comment="PBE-GGA RbCa2Cd2Sn2, optimized geometry" sg="R-3m (166)" formation_enthalpy_0k_kcal_per_mol_atoms=-8.48 pbc="T T T"
Rb 0.000 0.000 0.000
Ca 0.000 0.000 4.215
Ca 0.000 0.000 26.901
Cd 0.000 0.000 13.594
Cd 0.000 0.000 17.522
Sn 0.000 0.000 7.633
Sn 0.000 0.000 23.484

=====

# 8
5
Lattice="5.118 0.000 0.000 0.000 5.118 0.000 0.000 0.000 5.118" Properties=species:S:1:pos:R:3 comment="PBE-GGA Pr3PbF, optimized geometry" sg="Pm-3m (221)" total_energy_ev_per_cell=-25.6 pbc="T T T"
Pr 0.000 0.000 2.559
Pr 0.000 2.559 0.000
Pr 2.559 0.000 0.000
Pb 2.559 2.559 2.559
F 0.000 0.000 0.000

=====

# 9
4
Lattice="3.011 0.000 0.000 0.000 3.011 0.000 0.000 0.000 6.514" Properties=species:S:1:pos:R:3 comment="PBE-GGA LiW2Se, optimized geometry" sg="P4/mmm (123)" total_energy_ev_per_cell=-28.2 pbc="T T T"
Li 0.000 0.000 0.000
W 1.505 1.505 1.553
W 1.505 1.505 4.961
Se 0.000 0.000 3.257

=====

# 10
4
Lattice="1.913 -2.868 0.000 1.913 2.868 0.000 0.000 0.000 10.803" Properties=species:S:1:pos:R:3 comment="PBE-GGA LaTlIn2, optimized geometry" sg="Cmmm (65)" formation_enthalpy_0k_kcal_per_mol_atoms=-2.29 pbc="T T T"
La 0.000 0.000 0.000
Tl 0.000 0.000 5.401
In 1.913 0.000 2.778
In 1.913 0.000 8.025

=====

# 11
10
Lattice="7.148 0.000 0.000 0.000 7.148 0.000 0.000 0.000 3.559" Properties=species:S:1:pos:R:3 comment="PBE-GGA Ti2SnGe2, optimized geometry" sg="P4/mbm (127)" formation_enthalpy_0k_kcal_per_mol_atoms=-4.21 pbc="T T T"
Ti 1.181 2.393 0.000
Ti 2.393 5.967 0.000
Ti 4.755 1.181 0.000
Ti 5.967 4.755 0.000
Sn 0.000 0.000 1.780
Sn 3.574 3.574 1.780
Ge 0.922 4.496 1.780
Ge 2.652 0.922 1.780
Ge 4.496 6.226 1.780
Ge 6.226 2.652 1.780

=====

# 12
8
Lattice="2.524 1.457 8.468 -2.524 1.457 8.468 0.000 -2.915 8.468" Properties=species:S:1:pos:R:3 comment="PBE-GGA NaPr2CdHg4, optimized geometry" sg="R-3m (166)" formation_enthalpy_0k_kcal_per_mol_atoms=-8.23 pbc="T T T"
Na 0.000 0.000 0.000
Pr 0.000 0.000 6.292
Pr 0.000 0.000 19.113
Cd 0.000 0.000 12.703
Hg 0.000 0.000 3.135
Hg 0.000 0.000 9.435
Hg 0.000 0.000 15.970
Hg 0.000 0.000 22.270

=====

no.,calculated volume (Å³ per cell)
1,332.9
2,138.0
3,53.6
4,81.5
5,159.0
6,88.2
7,236.9
8,134.1
9,59.1
10,118.5
11,181.9
12,186.9